No. 1
A plane-wave DFT calculation with GGA-PBE was carried out for a relaxed structure of GdEr2Sn.

Calculated values
The value obtained for the formation energy is -0.24 eV per atom. For the total energy, the calculation gives -7.0389 eV per atom.

a b c (Å): 5.3742 5.3742 5.3742
angles (deg): 60.00 60.00 60.00
Atoms (fractional coordinates):
Gd  0.0000  0.0000  0.0000
Er  0.2500  0.2500  0.2500
Er  0.7500  0.7500  0.7500
Sn  0.5000  0.5000  0.5000

No. 2
A plane-wave DFT calculation with GGA-PBE was carried out for a relaxed structure of La2PO5.

Calculated values
As for the uncorrected formation energy: -23.2 eV/f.u. For the total energy, the calculation gives -7.9055 eV per atom.

a b c (Å): 4.3863 10.4542 10.5626
angles (deg): 90.00 90.19 90.00
Atoms (fractional coordinates):
La  0.2295  0.0486  0.1399
La  0.2295  0.4514  0.6399
La  0.2375  0.6812  0.0474
La  0.2375  0.8188  0.5474
La  0.7625  0.1812  0.4526
La  0.7625  0.3188  0.9526
La  0.7705  0.5486  0.3601
La  0.7705  0.9514  0.8601
P  0.3490  0.1602  0.7195
P  0.3490  0.3398  0.2195
P  0.6510  0.6602  0.7805
P  0.6510  0.8398  0.2805
O  0.2372  0.2387  0.3183
O  0.2372  0.2613  0.8183
O  0.2408  0.6033  0.4841
O  0.2408  0.8967  0.9841
O  0.2460  0.0204  0.7448
O  0.2460  0.4796  0.2448
O  0.2559  0.2094  0.5855
O  0.2559  0.2906  0.0855
O  0.2989  0.6631  0.7712
O  0.2989  0.8369  0.2712
O  0.7011  0.1631  0.7288
O  0.7011  0.3369  0.2288
O  0.7441  0.7094  0.9145
O  0.7441  0.7906  0.4145
O  0.7540  0.5204  0.7552
O  0.7540  0.9796  0.2552
O  0.7592  0.1033  0.0159
O  0.7592  0.3967  0.5159
O  0.7628  0.7387  0.1817
O  0.7628  0.7613  0.6817

No. 3
A plane-wave DFT calculation with GGA-PBE was carried out for a relaxed structure of HoEr2Tm.

Calculated values
The value obtained for the formation energy is 0.02 eV per atom. For the total energy, the calculation gives -4.5192 eV per atom.

a b c (Å): 4.9479 4.9479 4.9473
angles (deg): 90.00 90.00 90.00
Atoms (fractional coordinates):
Ho  0.0000  0.0000  0.0000
Er  0.0000  0.5000  0.5000
Er  0.5000  0.0000  0.5000
Tm  0.5000  0.5000  0.0000

| no. | total moment (μB/cell) |
| --- | --- |
| 1 | 8.41 |
| 2 | 3.53 |
| 3 | 0.00 |